Record 1
{"formula": "Sr2ScMo", "functional": "PBE", "state": "relaxed", "e_form_ev_per_atom": 0.94, "dos_ef_per_ev_cell": 6.100, "crystal_system": "cubic", "de_polymorph_mev_per_atom": 477, "lattice": [[0.000, 3.956, 3.956], [3.956, 0.000, 3.956], [3.956, 3.956, 0.000]], "species": ["Sr", "Sr", "Sc", "Mo"], "fractional_positions": [[0.250, 0.250, 0.250], [0.750, 0.750, 0.750], [0.000, 0.000, 0.000], [0.500, 0.500, 0.500]]}

=====

Record 2
{"formula": "YTmPu2", "functional": "PBE", "state": "relaxed", "e_form_ev_per_atom": 0.16, "dos_ef_per_ev_cell": 15.403, "crystal_system": "trigonal", "de_polymorph_mev_per_atom": 0, "lattice": [[1.740, 1.005, 11.248], [-1.740, 1.005, 11.248], [0.000, -2.010, 11.248]], "species": ["Y", "Tm", "Pu", "Pu"], "fractional_positions": [[0.000, 0.000, 0.000], [0.167, 0.167, 0.167], [0.583, 0.583, 0.583], [0.751, 0.751, 0.751]]}